Entry from Alexandria via LeMat-Bulk: a geometry-optimized BC2Se structure (GGA-PBE).

The space group is I-42d (No. 122) and the conventional cell measures 4.413, 4.413 and 8.132 Å, with angles of 90.00, 90.00 and 90.00 degrees. The asymmetric unit holds B at (0.000, 0.000, 0.000), C at (0.156, 0.250, 0.125) and Se at (0.000, 0.000, 0.500).

The calculation puts the density of states at the Fermi level at 5.5 states/eV/cell. Its total energy is -6.153 eV/atom. The calculation puts the density at 4.8 g cm⁻³. As for the uncorrected formation energy: 1.00 eV/atom.